1.
! TaPPt3, optimized geometry, DFT GGA-PBE; values from VASP
! symmetry = Pm-3m, No. 221
&SYSTEM
  ibrav = 0, nat = 5, ntyp = 3
/
ATOMIC_SPECIES
P 30.97 P.upf
Pt 195.08 Pt.upf
Ta 180.95 Ta.upf
CELL_PARAMETERS angstrom
-2.497 3.066 2.122
-0.835 -2.949 3.277
3.634 1.429 2.212
ATOMIC_POSITIONS crystal
P 0.000 0.000 0.000
Pt 0.000 0.000 0.500
Pt 0.000 0.500 0.000
Pt 0.500 0.000 0.000
Ta 0.500 0.500 0.500


2.
! TaPPt2, optimized geometry, DFT GGA-PBE; values from VASP
! symmetry = Amm2, No. 38
&SYSTEM
  ibrav = 0, nat = 4, ntyp = 3
/
ATOMIC_SPECIES
Ta 180.95 Ta.upf
Pt 195.08 Pt.upf
P 30.97 P.upf
CELL_PARAMETERS angstrom
-4.536 3.235 1.205
2.468 -5.137 -0.112
1.321 0.559 3.474
ATOMIC_POSITIONS crystal
Ta 0.924 0.076 0.000
Pt 0.194 0.806 0.000
Pt 0.553 0.447 0.500
P 0.326 0.674 0.500


3.
! TaPPt2, optimized geometry, DFT GGA-PBE; values from VASP
! symmetry = Pmmm, No. 47
&SYSTEM
  ibrav = 0, nat = 4, ntyp = 3
/
ATOMIC_SPECIES
Pt 195.08 Pt.upf
P 30.97 P.upf
Ta 180.95 Ta.upf
CELL_PARAMETERS angstrom
3.162 0.000 0.000
0.000 4.340 0.000
0.000 0.000 4.547
ATOMIC_POSITIONS crystal
Pt 0.000 0.000 0.000
Pt 0.500 0.500 0.000
P 0.000 0.500 0.500
Ta 0.500 0.000 0.500


4.
! TaTiPPt2, optimized geometry, DFT GGA-PBE; values from VASP
! symmetry = P4/mmm, No. 123
&SYSTEM
  ibrav = 0, nat = 5, ntyp = 4
/
ATOMIC_SPECIES
Ti 47.87 Ti.upf
P 30.97 P.upf
Pt 195.08 Pt.upf
Ta 180.95 Ta.upf
CELL_PARAMETERS angstrom
4.870 0.000 0.000
0.000 4.648 0.000
0.000 0.000 4.870
ATOMIC_POSITIONS crystal
Ti 0.500 0.500 0.500
P 0.000 0.500 0.000
Pt 0.000 0.000 0.500
Pt 0.500 0.000 0.000
Ta 0.000 0.000 0.000


5.
! Ta2VPPt, optimized geometry, DFT GGA-PBE; values from VASP
! symmetry = P4/mmm, No. 123
&SYSTEM
  ibrav = 0, nat = 5, ntyp = 4
/
ATOMIC_SPECIES
Ta 180.95 Ta.upf
P 30.97 P.upf
Pt 195.08 Pt.upf
V 50.94 V.upf
CELL_PARAMETERS angstrom
-0.583 4.442 -0.875
-0.555 -0.882 -4.112
-4.488 -0.451 0.702
ATOMIC_POSITIONS crystal
Ta 0.500 0.000 0.000
Ta 0.000 0.000 0.500
P 0.000 0.000 0.000
Pt 0.500 0.500 0.500
V 0.000 0.500 0.000


6.
! TaP2PtW, optimized geometry, DFT GGA-PBE; values from VASP
! symmetry = P4/mmm, No. 123
&SYSTEM
  ibrav = 0, nat = 5, ntyp = 4
/
ATOMIC_SPECIES
W 183.84 W.upf
Ta 180.95 Ta.upf
P 30.97 P.upf
Pt 195.08 Pt.upf
CELL_PARAMETERS angstrom
-0.935 3.125 3.186
-4.673 -1.552 0.151
1.100 -2.994 3.259
ATOMIC_POSITIONS crystal
W 0.000 0.000 0.000
Ta 0.500 0.500 0.500
P 0.000 0.000 0.500
P 0.500 0.000 0.000
Pt 0.000 0.500 0.000


For each record above, in turn, the calculated ΔH_f (0 K) values are 0.334; -0.536; -0.304; 0.610; 0.170; 1.039 eV per atom.